VASP calculation (PBE) on MnNb6Mo3 after structural relaxation.

Summary:
**DOS at the Fermi energy**: 13.5 states/eV per cell
**ΔH_f (0 K)**: -8 kJ per mole of atoms

abc: 4.5609 7.9042 9.6610
angles: 105.81 90.00 90.00
Last column: nearest neighbours and their distance in Å.
Element x y z (fractional)
1 Mn 0.2500 0.9509 0.5966  8 Nb 2.67-2.80
2 Mn 0.7500 0.0491 0.4034  8 Nb 2.67-2.80
3 Nb 0.2500 0.4549 0.1021  7 Mo 2.77-2.83, 1 Nb 2.84
4 Nb 0.7500 0.5451 0.8979  7 Mo 2.77-2.83, 1 Nb 2.84
5 Nb 0.2500 0.1496 0.2027  8 Nb 2.79-2.87
6 Nb 0.7500 0.8504 0.7973  8 Nb 2.79-2.87
7 Nb 0.2500 0.6475 0.6937  5 Mo 2.73-2.85, 1 Mn 2.80, 2 Nb 2.81
8 Nb 0.7500 0.3525 0.3063  5 Mo 2.73-2.85, 1 Mn 2.80, 2 Nb 2.81
9 Nb 0.2500 0.2410 0.5024  3 Mn 2.69-2.76, 4 Mo 2.75-2.88, 1 Nb 2.79
10 Nb 0.7500 0.7590 0.4976  3 Mn 2.69-2.76, 4 Mo 2.75-2.88, 1 Nb 2.79
11 Nb 0.2500 0.8537 0.3098  3 Mn 2.67-2.76, 4 Mo 2.77-2.88, 1 Nb 2.80
12 Nb 0.7500 0.1463 0.6902  3 Mn 2.67-2.76, 4 Mo 2.77-2.88, 1 Nb 2.80
13 Nb 0.2500 0.0527 0.8945  4 Mo 2.74-2.83, 1 Mn 2.77, 3 Nb 2.80-2.87
14 Nb 0.7500 0.9473 0.1055  4 Mo 2.74-2.83, 1 Mn 2.77, 3 Nb 2.80-2.87
15 Mo 0.2500 0.5507 0.4006  8 Nb 2.73-2.88
16 Mo 0.7500 0.4493 0.5994  8 Nb 2.73-2.88
17 Mo 0.2500 0.3477 0.7978  8 Nb 2.74-2.83
18 Mo 0.7500 0.6523 0.2022  8 Nb 2.74-2.83
19 Mo 0.2500 0.7522 0.0004  8 Nb 2.78-2.88
20 Mo 0.7500 0.2478 0.9996  8 Nb 2.78-2.88